## ZnIn2Ge2 (PBE)

Data for crystalline ZnIn2Ge2 at its relaxed geometry.

The density of states at the Fermi level comes out at 3.740 states/eV/cell. The crystal system is tetragonal. The total energy is -3.038 eV per atom.

The space group is P4/mbm (No. 127) and the conventional cell measures 6.7227, 6.7227 and 5.0097 Å, with angles of 90.00, 90.00 and 90.00 degrees. Symmetry generates all atoms from Zn at (0.0000, 0.0000, 0.0000), In at (0.1802, 0.3198, 0.5000) and Ge at (0.1369, 0.6369, 0.0000).